The following is a DFT calculation (PBE) of a relaxed structure of La6SbTe3As2.

a = 4.4963 Å, b = 9.0980 Å, c = 10.1501 Å
α = 103.78°, β = 102.80°, γ = 90.00°
Atoms (fractional coordinates):
La 0.3326 0.8962 0.6652
La 0.6731 0.5691 0.3463
La 0.6674 0.1038 0.3348
La 0.0086 0.2510 0.0172
La 0.9914 0.7490 0.9828
La 0.3269 0.4309 0.6537
Sb 0.5000 0.0000 0.0000
Te 0.5000 0.5000 0.0000
Te 0.8362 0.1675 0.6724
Te 0.1638 0.8325 0.3276
As 0.8321 0.6654 0.6642
As 0.1679 0.3346 0.3358

Values from the calculation:
The formation energy without anion corrections is -1.58 eV per atom. As for the space-group type: C2/m. The magnetic moment comes out at 0.0 Bohr magnetons per cell. Its final energy is -5.952 eV per atom. Its volume is 392.64 Å³ per cell.